[1]
Density functional theory data (GGA-PBE) for InAsOs2 after structural relaxation. Values from VASP.

Values from the calculation:
Total energy   -6.676 eV/atom
Polymorph energy (0 for the lowest one)   487 meV/atom
DFT formation energy   0.79 eV per atom

```
&SYSTEM
  ibrav = 0, nat = 8, ntyp = 3
/
ATOMIC_SPECIES
In 114.82 In.upf
As 74.92 As.upf
Os 190.23 Os.upf
ATOMIC_POSITIONS angstrom
In 0.000 0.000 0.000
In 2.059 2.059 3.904
As 0.000 2.059 1.952
As 2.059 0.000 5.856
Os 0.000 0.000 3.904
Os 0.000 2.059 5.856
Os 2.059 0.000 1.952
Os 2.059 2.059 0.000
CELL_PARAMETERS angstrom
4.119 0.000 0.000
0.000 4.119 0.000
0.000 0.000 7.808
```



[2]
Density functional theory data (GGA-PBE) for In2AsOs after structural relaxation. Values from VASP.

Values from the calculation:
Total energy   -4.874 eV/atom
DFT formation energy   0.47 eV per atom

```
&SYSTEM
  ibrav = 0, nat = 4, ntyp = 3
/
ATOMIC_SPECIES
In 114.82 In.upf
As 74.92 As.upf
Os 190.23 Os.upf
ATOMIC_POSITIONS angstrom
In 0.000 0.000 1.746
In 0.000 0.000 6.516
As 1.554 1.554 4.131
Os 1.554 1.554 0.000
CELL_PARAMETERS angstrom
3.108 0.000 0.000
0.000 3.108 0.000
0.000 0.000 8.262
```



[3]
Density functional theory data (GGA-PBE) for In2AsOs after structural relaxation. Values from VASP.

Values from the calculation:
Total energy   -5.136 eV/atom
DFT formation energy   0.20 eV per atom

```
&SYSTEM
  ibrav = 0, nat = 8, ntyp = 3
/
ATOMIC_SPECIES
In 114.82 In.upf
As 74.92 As.upf
Os 190.23 Os.upf
ATOMIC_POSITIONS angstrom
In 0.000 0.000 0.000
In 0.000 2.308 2.335
In 1.526 0.000 8.410
In 1.526 2.308 6.074
As 0.000 0.000 4.520
As 1.526 2.308 10.595
Os 0.000 2.308 8.617
Os 1.526 0.000 2.542
CELL_PARAMETERS angstrom
3.052 0.000 0.000
0.000 4.616 0.000
0.000 0.000 12.149
```



[4]
Density functional theory data (GGA-PBE) for In2AsOs after structural relaxation. Values from VASP.

Values from the calculation:
Total energy   -4.760 eV/atom
DFT formation energy   0.58 eV per atom

```
&SYSTEM
  ibrav = 0, nat = 8, ntyp = 3
/
ATOMIC_SPECIES
In 114.82 In.upf
As 74.92 As.upf
Os 190.23 Os.upf
ATOMIC_POSITIONS angstrom
In 0.000 0.000 0.000
In 0.000 2.155 2.053
In 2.155 0.000 6.159
In 2.155 2.155 4.106
As 0.000 0.000 4.106
As 2.155 2.155 0.000
Os 0.000 2.155 6.159
Os 2.155 0.000 2.053
CELL_PARAMETERS angstrom
4.311 0.000 0.000
0.000 4.311 0.000
0.000 0.000 8.212
```



[5]
Density functional theory data (GGA-PBE) for In2AsOs after structural relaxation. Values from VASP.

Values from the calculation:
Total energy   -4.787 eV/atom
DFT formation energy   0.55 eV per atom

```
&SYSTEM
  ibrav = 0, nat = 8, ntyp = 3
/
ATOMIC_SPECIES
In 114.82 In.upf
As 74.92 As.upf
Os 190.23 Os.upf
ATOMIC_POSITIONS angstrom
In 1.996 0.000 1.140
In 1.692 1.691 3.785
In 6.657 1.691 1.140
In 6.353 0.000 3.785
As -0.487 0.000 2.462
As 4.175 1.691 2.462
Os 0.000 1.691 0.000
Os 4.661 0.000 0.000
CELL_PARAMETERS angstrom
9.322 0.000 0.000
0.000 3.381 0.000
-0.973 0.000 4.924
```



[6]
Density functional theory data (GGA-PBE) for In2AsOs after structural relaxation. Values from VASP.

Values from the calculation:
Total energy   -5.141 eV/atom
DFT formation energy   0.20 eV per atom

```
&SYSTEM
  ibrav = 0, nat = 12, ntyp = 3
/
ATOMIC_SPECIES
In 114.82 In.upf
As 74.92 As.upf
Os 190.23 Os.upf
ATOMIC_POSITIONS angstrom
In 0.000 0.000 0.000
In 0.000 0.000 7.655
In 0.000 1.821 20.805
In 0.000 1.821 28.460
In 1.577 0.910 10.403
In 1.577 0.910 18.057
As 0.000 0.000 14.325
As 0.000 1.821 3.923
As 1.577 0.910 24.728
Os 0.000 0.000 23.056
Os 0.000 1.821 12.654
Os 1.577 0.910 2.251
CELL_PARAMETERS angstrom
3.153 0.000 0.000
-1.577 2.731 0.000
0.000 0.000 31.208
```



[7]
Density functional theory data (GGA-PBE) for InAs3Os after structural relaxation. Values from VASP.

Values from the calculation:
Total energy   -5.013 eV/atom
Polymorph energy (0 for the lowest one)   0 meV/atom
DFT formation energy   0.57 eV per atom

```
&SYSTEM
  ibrav = 0, nat = 5, ntyp = 3
/
ATOMIC_SPECIES
In 114.82 In.upf
As 74.92 As.upf
Os 190.23 Os.upf
ATOMIC_POSITIONS angstrom
In 0.000 0.000 0.000
As 0.000 2.439 2.439
As 2.439 0.000 2.439
As 2.439 2.439 0.000
Os 2.439 2.439 2.439
CELL_PARAMETERS angstrom
4.878 0.000 0.000
0.000 4.878 0.000
0.000 0.000 4.878
```



[8]
Density functional theory data (GGA-PBE) for In2AsOs after structural relaxation. Values from VASP.

Values from the calculation:
Total energy   -4.847 eV/atom
DFT formation energy   0.49 eV per atom

```
&SYSTEM
  ibrav = 0, nat = 4, ntyp = 3
/
ATOMIC_SPECIES
In 114.82 In.upf
As 74.92 As.upf
Os 190.23 Os.upf
ATOMIC_POSITIONS angstrom
In -0.047 0.000 1.523
In 2.792 0.000 5.194
As 1.373 1.717 3.358
Os 1.686 1.717 0.000
CELL_PARAMETERS angstrom
3.373 0.000 0.000
0.000 3.434 0.000
-0.628 0.000 6.717
```